Entry 1:
Below is an optimized crystal structure of Tb4Pm2Sc3, with properties calculated at the GGA-PBE level.

Geometry as CIF:
```
data_Tb4Pm2Sc3
_symmetry_space_group_name_H-M 'P 1'
_symmetry_Int_Tables_number 1
_cell_length_a 3.510
_cell_length_b 3.510
_cell_length_c 25.609
_cell_angle_alpha 90.00
_cell_angle_beta 90.00
_cell_angle_gamma 120.00
loop_
_symmetry_equiv_pos_as_xyz
'x,y,z'
loop_
_atom_site_label
_atom_site_fract_x
_atom_site_fract_y
_atom_site_fract_z
Sc1 0.000 0.000 0.327
Sc2 0.000 0.000 0.981
Sc3 0.667 0.333 0.651
Pm1 0.667 0.333 0.086
Pm2 0.667 0.333 0.874
Tb1 0.667 0.333 0.225
Tb2 0.000 0.000 0.547
Tb3 0.000 0.000 0.755
Tb4 0.667 0.333 0.432
```

Results
E above lowest polymorph	0.89	kcal/mol of atoms
E_tot	-46.4	eV/cell
energy of formation	0.066	eV per atom

=====

Entry 2:
Below is an optimized crystal structure of Tb4Pm3Sc2, with properties calculated at the GGA-PBE level.

Geometry as CIF:
```
data_Tb4Pm3Sc2
_symmetry_space_group_name_H-M 'P 1'
_symmetry_Int_Tables_number 1
_cell_length_a 5.003
_cell_length_b 6.099
_cell_length_c 10.530
_cell_angle_alpha 73.52
_cell_angle_beta 90.00
_cell_angle_gamma 65.80
loop_
_symmetry_equiv_pos_as_xyz
'x,y,z'
loop_
_atom_site_label
_atom_site_fract_x
_atom_site_fract_y
_atom_site_fract_z
Pm1 0.331 0.337 0.445
Pm2 0.000 0.000 0.000
Pm3 0.669 0.663 0.555
Tb1 0.332 0.335 0.110
Tb2 0.998 0.005 0.329
Tb3 0.668 0.665 0.890
Tb4 0.002 0.995 0.671
Sc1 0.334 0.332 0.779
Sc2 0.666 0.668 0.221
```

Results
E above lowest polymorph	0.00	kcal/mol of atoms
E_tot	-45.1	eV/cell
energy of formation	0.040	eV per atom

=====

Entry 3:
Below is an optimized crystal structure of TbPm6Sc8, with properties calculated at the GGA-PBE level.

Geometry as CIF:
```
data_TbPm6Sc8
_symmetry_space_group_name_H-M 'P 1'
_symmetry_Int_Tables_number 1
_cell_length_a 9.285
_cell_length_b 9.285
_cell_length_c 7.930
_cell_angle_alpha 54.16
_cell_angle_beta 54.16
_cell_angle_gamma 60.00
loop_
_symmetry_equiv_pos_as_xyz
'x,y,z'
loop_
_atom_site_label
_atom_site_fract_x
_atom_site_fract_y
_atom_site_fract_z
Pm1 0.169 0.621 0.782
Pm2 0.379 0.572 0.218
Pm3 0.428 0.169 0.782
Pm4 0.572 0.831 0.218
Pm5 0.831 0.379 0.218
Pm6 0.621 0.428 0.782
Sc1 0.773 0.773 0.680
Sc2 0.227 0.227 0.320
Sc3 0.380 0.872 0.700
Sc4 0.128 0.952 0.300
Sc5 0.952 0.620 0.300
Sc6 0.620 0.128 0.300
Sc7 0.872 0.048 0.700
Sc8 0.048 0.380 0.700
Tb1 0.000 0.000 0.000
```

Results
E_tot	-81.0	eV/cell
energy of formation	0.188	eV per atom

=====

Entry 4:
Below is an optimized crystal structure of TbPm6Sc2, with properties calculated at the GGA-PBE level.

Geometry as CIF:
```
data_TbPm6Sc2
_symmetry_space_group_name_H-M 'P 1'
_symmetry_Int_Tables_number 1
_cell_length_a 6.142
_cell_length_b 9.911
_cell_length_c 9.911
_cell_angle_alpha 71.98
_cell_angle_beta 84.96
_cell_angle_gamma 84.96
loop_
_symmetry_equiv_pos_as_xyz
'x,y,z'
loop_
_atom_site_label
_atom_site_fract_x
_atom_site_fract_y
_atom_site_fract_z
Pm1 0.819 0.022 0.734
Pm2 0.181 0.978 0.266
Pm3 0.843 0.641 0.915
Pm4 0.513 0.314 0.585
Pm5 0.487 0.686 0.415
Pm6 0.013 0.585 0.314
Pm7 0.343 0.915 0.641
Pm8 0.681 0.266 0.978
Pm9 0.157 0.359 0.085
Pm10 0.987 0.415 0.686
Pm11 0.657 0.085 0.359
Pm12 0.319 0.734 0.022
Sc1 0.411 0.558 0.770
Sc2 0.589 0.442 0.230
Sc3 0.911 0.770 0.558
Sc4 0.089 0.230 0.442
Tb1 0.250 0.101 0.899
Tb2 0.750 0.899 0.101
```

Results
E above lowest polymorph	0.70	kcal/mol of atoms
E_tot	-89.8	eV/cell
energy of formation	0.102	eV per atom

=====

Q: What is the E_tot in the first record?
A: -46.4 eV/cell